A relaxed structure of B2TePbO8, computed with GGA-PBE.

Calculated values
Raw formation energy (eV/atom): -1.382
Space-group type: No. 12

a b c (Å): 4.6005 4.6005 6.7690
angles (deg): 92.13 92.13 68.18
Atoms (fractional coordinates):
B (0.1590, 0.1590, 0.2251)
B (0.8410, 0.8410, 0.7749)
Te (0.5000, 0.5000, 0.0000)
Pb (0.5000, 0.5000, 0.5000)
O (0.2040, 0.7203, 0.7839)
O (0.2341, 0.2341, 0.4230)
O (0.2569, 0.2569, 0.0493)
O (0.2797, 0.7960, 0.2161)
O (0.7203, 0.2040, 0.7839)
O (0.7431, 0.7431, 0.9507)
O (0.7659, 0.7659, 0.5770)
O (0.7960, 0.2797, 0.2161)


A relaxed structure of NdSc12Al3, computed with GGA-PBE.

Calculated values
Formation energy from the elements (kJ/mol of formula units): -229.2
Space-group type: No. 123

a b c (Å): 4.4695 4.4695 18.2951
angles (deg): 90.00 90.00 90.00
Atoms (fractional coordinates):
Nd (0.0000, 0.0000, 0.0000)
Sc (0.0000, 0.5000, 0.1395)
Sc (0.0000, 0.5000, 0.3798)
Sc (0.0000, 0.5000, 0.6202)
Sc (0.0000, 0.5000, 0.8605)
Sc (0.5000, 0.0000, 0.1395)
Sc (0.5000, 0.0000, 0.3798)
Sc (0.5000, 0.0000, 0.6202)
Sc (0.5000, 0.0000, 0.8605)
Sc (0.5000, 0.5000, 0.0000)
Sc (0.5000, 0.5000, 0.2614)
Sc (0.5000, 0.5000, 0.5000)
Sc (0.5000, 0.5000, 0.7386)
Al (0.0000, 0.0000, 0.2595)
Al (0.0000, 0.0000, 0.5000)
Al (0.0000, 0.0000, 0.7405)


A relaxed structure of AlZn12Au6, computed with GGA-PBE.

Calculated values
Formation energy from the elements (kJ/mol of formula units): -293.7
Space-group type: No. 148

a b c (Å): 6.7772 6.7772 6.7772
angles (deg): 87.93 87.93 87.93
Atoms (fractional coordinates):
Al (0.0000, 0.0000, 0.0000)
Zn (0.0703, 0.3810, 0.1478)
Zn (0.1478, 0.0703, 0.3810)
Zn (0.1977, 0.5693, 0.4738)
Zn (0.3810, 0.1478, 0.0703)
Zn (0.4307, 0.5262, 0.8023)
Zn (0.4738, 0.1977, 0.5693)
Zn (0.5262, 0.8023, 0.4307)
Zn (0.5693, 0.4738, 0.1977)
Zn (0.6190, 0.8522, 0.9297)
Zn (0.8023, 0.4307, 0.5262)
Zn (0.8522, 0.9297, 0.6190)
Zn (0.9297, 0.6190, 0.8522)
Au (0.1259, 0.2881, 0.7441)
Au (0.2559, 0.8741, 0.7119)
Au (0.2881, 0.7441, 0.1259)
Au (0.7119, 0.2559, 0.8741)
Au (0.7441, 0.1259, 0.2881)
Au (0.8741, 0.7119, 0.2559)


A relaxed structure of CeAgRhPb, computed with GGA-PBE.

Calculated values
Formation energy from the elements (kJ/mol of formula units): -107.2
Space-group type: No. 216

a b c (Å): 4.9702 4.9702 4.9702
angles (deg): 60.00 60.00 60.00
Atoms (fractional coordinates):
Ce (0.0000, 0.0000, 0.0000)
Ag (0.2500, 0.2500, 0.2500)
Rh (0.7500, 0.7500, 0.7500)
Pb (0.5000, 0.5000, 0.5000)


A relaxed structure of CsSrLiAl2, computed with GGA-PBE.

Calculated values
Formation energy from the elements (kJ/mol of formula units): 445.6
Space-group type: No. 123

a b c (Å): 6.0904 6.0904 6.8853
angles (deg): 90.00 90.00 90.00
Atoms (fractional coordinates):
Cs (0.0000, 0.0000, 0.0000)
Sr (0.0000, 0.0000, 0.5000)
Li (0.5000, 0.5000, 0.0000)
Al (0.0000, 0.5000, 0.5000)
Al (0.5000, 0.0000, 0.5000)


A relaxed structure of KCuNi2, computed with GGA-PBE.

Calculated values
Formation energy from the elements (kJ/mol of formula units): 319.1
Space-group type: No. 12
Polymorph energy (0 for the lowest one) (eV/atom): 0.530

a b c (Å): 5.4234 5.4234 2.6158
angles (deg): 102.13 102.13 118.95
Atoms (fractional coordinates):
K (0.0000, 0.0000, 0.0000)
Cu (0.5000, 0.5000, 0.0000)
Ni (0.0000, 0.5000, 0.5000)
Ni (0.5000, 0.0000, 0.5000)


A relaxed structure of Th6Cu2TeC3, computed with GGA-PBE.

Calculated values
Raw formation energy (eV/atom): -0.368
Space-group type: No. 12

a b c (Å): 9.6094 9.6094 8.4773
angles (deg): 114.17 114.17 23.09
Atoms (fractional coordinates):
Th (0.0120, 0.0120, 0.2175)
Th (0.3134, 0.3134, 0.4256)
Th (0.3519, 0.3519, 0.8816)
Th (0.6481, 0.6481, 0.1184)
Th (0.6866, 0.6866, 0.5744)
Th (0.9880, 0.9880, 0.7825)
Cu (0.2038, 0.2038, 0.9206)
Cu (0.7962, 0.7962, 0.0794)
Te (0.5000, 0.5000, 0.5000)
C (0.1640, 0.1640, 0.3475)
C (0.5000, 0.5000, 0.0000)
C (0.8360, 0.8360, 0.6525)


A relaxed structure of Sc3Se, computed with GGA-PBE.

Calculated values
Raw formation energy (eV/atom): -0.794
Space-group type: No. 62
Polymorph energy (0 for the lowest one) (eV/atom): 0.008

a b c (Å): 6.6211 8.7595 6.0016
angles (deg): 90.00 90.00 90.00
Atoms (fractional coordinates):
Sc (0.0227, 0.2500, 0.1614)
Sc (0.1943, 0.0451, 0.6294)
Sc (0.1943, 0.4549, 0.6294)
Sc (0.3057, 0.5451, 0.1294)
Sc (0.3057, 0.9549, 0.1294)
Sc (0.4773, 0.7500, 0.6614)
Sc (0.5227, 0.2500, 0.3386)
Sc (0.6943, 0.0451, 0.8706)
Sc (0.6943, 0.4549, 0.8706)
Sc (0.8057, 0.5451, 0.3706)
Sc (0.8057, 0.9549, 0.3706)
Sc (0.9773, 0.7500, 0.8386)
Se (0.1280, 0.7500, 0.4144)
Se (0.3720, 0.2500, 0.9144)
Se (0.6280, 0.7500, 0.0856)
Se (0.8720, 0.2500, 0.5856)


A relaxed structure of Si4H2O9, computed with GGA-PBE.

Calculated values
E_tot (eV per cell): -437.06
Space-group type: No. 15

a b c (Å): 7.6039 7.6039 14.5067
angles (deg): 101.07 101.07 89.89
Atoms (fractional coordinates):
Si (0.0458, 0.9542, 0.7500)
Si (0.0496, 0.3643, 0.7586)
Si (0.1927, 0.7179, 0.9092)
Si (0.2821, 0.8073, 0.5908)
Si (0.2836, 0.4028, 0.6006)
Si (0.3643, 0.0496, 0.2586)
Si (0.3644, 0.6356, 0.2500)
Si (0.4028, 0.2836, 0.1006)
Si (0.5972, 0.7164, 0.8994)
Si (0.6356, 0.3644, 0.7500)
Si (0.6357, 0.9504, 0.7414)
Si (0.7164, 0.5972, 0.3994)
Si (0.7179, 0.1927, 0.4092)
Si (0.8073, 0.2821, 0.0908)
Si (0.9504, 0.6357, 0.2414)
Si (0.9542, 0.0458, 0.2500)
H (0.0116, 0.2327, 0.9971)
H (0.2327, 0.0116, 0.4971)
H (0.2532, 0.2702, 0.9471)
H (0.2702, 0.2532, 0.4471)
H (0.7298, 0.7468, 0.5529)
H (0.7468, 0.7298, 0.0529)
H (0.7673, 0.9884, 0.5029)
H (0.9884, 0.7673, 0.0029)
O (0.0867, 0.1694, 0.7892)
O (0.1141, 0.8518, 0.8371)
O (0.1203, 0.7626, 0.0083)
O (0.1416, 0.5102, 0.8527)
O (0.1431, 0.3790, 0.6688)
O (0.1482, 0.8859, 0.6629)
O (0.1642, 0.6061, 0.2704)
O (0.1694, 0.0867, 0.2892)
O (0.2374, 0.8797, 0.4917)
O (0.2382, 0.2376, 0.0069)
O (0.2376, 0.2382, 0.5069)
O (0.2581, 0.5899, 0.5630)
O (0.3790, 0.1431, 0.1688)
O (0.3939, 0.8358, 0.2296)
O (0.3947, 0.4896, 0.1571)
O (0.4101, 0.7419, 0.9370)
O (0.4896, 0.3947, 0.6571)
O (0.4898, 0.8584, 0.6473)
O (0.5102, 0.1416, 0.3527)
O (0.5104, 0.6053, 0.3429)
O (0.5899, 0.2581, 0.0630)
O (0.6053, 0.5104, 0.8429)
O (0.6061, 0.1642, 0.7704)
O (0.6210, 0.8569, 0.8312)
O (0.7419, 0.4101, 0.4370)
O (0.7624, 0.7618, 0.4931)
O (0.7618, 0.7624, 0.9931)
O (0.7626, 0.1203, 0.5083)
O (0.8306, 0.9133, 0.7108)
O (0.8358, 0.3939, 0.7296)
O (0.8518, 0.1141, 0.3371)
O (0.8569, 0.6210, 0.3312)
O (0.8584, 0.4898, 0.1473)
O (0.8797, 0.2374, 0.9917)
O (0.8859, 0.1482, 0.1629)
O (0.9133, 0.8306, 0.2108)


A relaxed structure of DyNi4, computed with GGA-PBE.

Calculated values
Formation energy from the elements (kJ/mol of formula units): 322.6
Space-group type: No. 139

a b c (Å): 5.6569 5.6569 5.6569
angles (deg): 93.39 93.39 151.86
Atoms (fractional coordinates):
Dy (0.0000, 0.0000, 0.0000)
Ni (0.0000, 0.3230, 0.3230)
Ni (0.0000, 0.6770, 0.6770)
Ni (0.3230, 0.0000, 0.3230)
Ni (0.6770, 0.0000, 0.6770)


The records above give, respectively, M_tot values of 0.000; 0.430; 0.000; 0.514; 0.000; 0.687; 0.000; 0.001; 0.002; 0.001 Bohr magnetons per cell.